1.
Tb8Al2Rh, optimized geometry, DFT GGA-PBE; E_form = -288.6 meV/atom; ρ = 7.9 g cm⁻³; DOS at the Fermi energy = 0.97 states/eV per atom
1.0
-3.816 -2.766 -1.764
2.961 -5.511 2.235
-3.240 3.900 8.074
Tb Al Rh
8 2 1
Direct
0.408 0.545 0.816
0.649 0.974 0.298
0.790 0.695 0.580
0.978 0.222 0.957
0.210 0.305 0.420
0.351 0.026 0.702
0.592 0.455 0.184
0.022 0.778 0.043
0.811 0.247 0.622
0.189 0.753 0.378
0.500 0.000 0.000


2.
CsBi3Pt, optimized geometry, DFT GGA-PBE; E_form = -283.0 meV/atom; ρ = 8.7 g cm⁻³; energy above the lowest structure with this stoichiometry = 0.00 eV per formula unit; DOS at the Fermi energy = 0.32 states/eV per atom
1.0
-1.091 1.682 -7.529
5.925 -7.379 -2.507
-9.583 -3.340 0.642
Cs Bi Pt
4 12 4
Direct
0.413 0.369 0.278
0.587 0.631 0.722
0.913 0.631 0.222
0.087 0.369 0.778
0.111 0.032 0.359
0.889 0.968 0.641
0.611 0.968 0.141
0.389 0.032 0.859
0.021 0.186 0.082
0.979 0.814 0.918
0.521 0.814 0.418
0.479 0.186 0.582
0.383 0.697 0.101
0.617 0.303 0.899
0.883 0.303 0.399
0.117 0.697 0.601
0.755 0.041 0.916
0.245 0.959 0.084
0.255 0.959 0.584
0.745 0.041 0.416


3.
LaSc2Se, optimized geometry, DFT GGA-PBE; electronic total energy = -5.962 eV/atom; ρ = 4.9 g cm⁻³; DOS at the Fermi energy = 1.17 states/eV per atom
1.0
-0.334 4.034 -4.258
-2.585 1.384 -5.091
-4.649 3.987 -0.123
La Sc Se
1 2 1
Direct
0.197 0.197 0.224
0.014 0.014 0.975
0.810 0.810 0.616
0.479 0.479 0.684


4.
AuO, optimized geometry, DFT GGA-PBE; electronic total energy = -3.641 eV/atom; ρ = 11.7 g cm⁻³; DOS at the Fermi energy = 1.36 states/eV per atom
1.0
-1.179 -2.911 -0.518
2.805 0.343 1.464
-3.196 0.215 6.075
Au O
2 2
Direct
0.333 0.667 0.690
0.667 0.333 0.190
0.333 0.667 0.392
0.667 0.333 0.892


5.
ZrCdTc2, optimized geometry, DFT GGA-PBE; E_form = 228.9 meV/atom; ρ = 9.5 g cm⁻³; DOS at the Fermi energy = 0.79 states/eV per atom
1.0
4.578 0.000 0.000
0.000 2.777 0.002
0.000 0.864 5.499
Cd Tc Zr
1 2 1
Direct
0.500 0.750 0.750
0.000 0.033 0.994
0.000 0.467 0.506
0.500 0.250 0.250


6.
PrTiHg2, optimized geometry, DFT GGA-PBE; E_form = -161.7 meV/atom; ρ = 10.4 g cm⁻³; energy above the lowest structure with this stoichiometry = 0.00 eV per formula unit; DOS at the Fermi energy = 0.88 states/eV per atom
1.0
-2.668 -1.029 -2.061
1.820 -2.875 -0.921
-3.033 -3.782 5.815
Pr Hg Ti
1 2 1
Direct
0.500 0.500 0.500
0.000 0.000 0.792
0.000 0.000 0.208
0.500 0.500 0.000


7.
TiMnSiRu, optimized geometry, DFT GGA-PBE; electronic total energy = -8.592 eV/atom; ρ = 7.5 g cm⁻³; DOS at the Fermi energy = 0.93 states/eV per atom
1.0
4.175 0.000 0.000
2.087 3.616 0.000
2.087 1.205 3.409
Ru Si Mn Ti
1 1 1 1
Direct
0.000 0.000 0.000
0.750 0.750 0.750
0.500 0.500 0.500
0.250 0.250 0.250


8.
PmDy5Y2Tm, optimized geometry, DFT GGA-PBE; E_form = 154.9 meV/atom; ρ = 7.4 g cm⁻³; DOS at the Fermi energy = 1.65 states/eV per atom
1.0
-1.719 3.044 4.398
-5.735 -8.515 0.065
7.173 -4.784 6.115
Pm Dy Y Tm
2 10 4 2
Direct
0.585 0.169 0.955
0.415 0.831 0.455
0.388 0.776 0.022
0.718 0.436 0.812
0.480 0.959 0.738
0.298 0.597 0.708
0.981 0.961 0.524
0.612 0.224 0.522
0.282 0.564 0.312
0.520 0.041 0.238
0.702 0.403 0.208
0.019 0.039 0.024
0.886 0.773 0.819
0.111 0.222 0.735
0.114 0.227 0.319
0.889 0.778 0.235
0.799 0.599 0.511
0.201 0.401 0.011


Question: Which formula does entry 4 have?
Answer: AuO


Question: Which value of ρ does entry 6 give?
Answer: 10.4 g cm⁻³


Question: ρ of number 5 (ZrCdTc2)?
Answer: 9.5 g cm⁻³


Repeat the eighth record exactly.
PmDy5Y2Tm, optimized geometry, DFT GGA-PBE; E_form = 154.9 meV/atom; ρ = 7.4 g cm⁻³; DOS at the Fermi energy = 1.65 states/eV per atom
1.0
-1.719 3.044 4.398
-5.735 -8.515 0.065
7.173 -4.784 6.115
Pm Dy Y Tm
2 10 4 2
Direct
0.585 0.169 0.955
0.415 0.831 0.455
0.388 0.776 0.022
0.718 0.436 0.812
0.480 0.959 0.738
0.298 0.597 0.708
0.981 0.961 0.524
0.612 0.224 0.522
0.282 0.564 0.312
0.520 0.041 0.238
0.702 0.403 0.208
0.019 0.039 0.024
0.886 0.773 0.819
0.111 0.222 0.735
0.114 0.227 0.319
0.889 0.778 0.235
0.799 0.599 0.511
0.201 0.401 0.011